1.
DFT (GGA-PBE) results for a geometry-optimized Hf2MnW2 structure.

```
Hf2MnW2
1.0
6.3496 0.0000 0.0000
0.0000 6.3496 0.0000
0.0000 0.0000 4.5287
W Mn Hf
4 2 4
direct
0.3527 0.8527 0.0000
0.1473 0.3527 0.0000
0.8527 0.6473 0.0000
0.6473 0.1473 0.0000
0.0000 0.0000 0.0000
0.5000 0.5000 0.0000
0.1701 0.6701 0.5000
0.3299 0.1701 0.5000
0.6701 0.8299 0.5000
0.8299 0.3299 0.5000
```

Values from the calculation:
ΔE to the lowest computed polymorph: 0 kJ/mol of formula units
Energy of formation: 0.27 eV/atom
Energy: -10.73 eV/atom

***

2.
DFT (GGA-PBE) results for a geometry-optimized HfMn2W structure.

```
HfMn2W
1.0
3.0589 0.0000 0.0000
0.0000 4.3397 0.0000
0.0000 0.0000 4.3397
Mn W Hf
2 1 1
direct
0.0000 0.5000 0.0000
0.0000 0.0000 0.5000
0.5000 0.5000 0.5000
0.5000 0.0000 0.0000
```

Values from the calculation:
Energy of formation: -0.08 eV/atom
Energy: -10.39 eV/atom

***

3.
DFT (GGA-PBE) results for a geometry-optimized HfMn3W structure.

```
HfMn3W
1.0
4.5176 0.0000 0.0000
0.0000 4.5176 0.0000
0.0000 0.0000 4.5176
Mn Hf W
3 1 1
direct
0.5000 0.0000 0.0000
0.0000 0.5000 0.0000
0.0000 0.0000 0.5000
0.5000 0.5000 0.5000
0.0000 0.0000 0.0000
```

Values from the calculation:
Energy of formation: 1.15 eV/atom
Energy: -8.94 eV/atom

***

> Which of these has the highest energy of formation?

HfMn3W